Entry 1:
# PBE ZrInPb2, relaxed
# V = 207 Å³/cell
# DOS(E_F) = 2.471 states/eV/f.u.
# Final energy = -18.6 eV per formula unit
# Magnetization = 0.00 μB per formula unit
# Formation energy = 17 meV per atom
data_ZrInPb2
_cell_length_a 4.4089
_cell_length_b 4.4089
_cell_length_c 10.6465
_cell_angle_alpha 90.00
_cell_angle_beta 90.00
_cell_angle_gamma 90.00
_space_group_name_H-M_alt 'I -4 m 2'
_space_group_IT_number 119
_space_group_name_Hall 'I -4 -2'
loop_
_atom_site_label
_atom_site_fract_x
_atom_site_fract_y
_atom_site_fract_z
Zr1 0.0000 0.0000 0.0000
In1 0.0000 0.5000 0.7500
Pb1 0.0000 0.0000 0.5000
Pb2 0.0000 0.5000 0.2500

---

Entry 2:
# PBE ZrInPb2, relaxed
# V = 207 Å³/cell
# DOS(E_F) = 2.697 states/eV/f.u.
# Final energy = -18.6 eV per formula unit
# Magnetization = 0.00 μB per formula unit
# Formation energy = 18 meV per atom
data_ZrInPb2
_cell_length_a 4.5577
_cell_length_b 4.5577
_cell_length_c 9.9640
_cell_angle_alpha 90.00
_cell_angle_beta 90.00
_cell_angle_gamma 90.00
_space_group_name_H-M_alt 'I 4/m m m'
_space_group_IT_number 139
_space_group_name_Hall '-I 4 2'
loop_
_atom_site_label
_atom_site_fract_x
_atom_site_fract_y
_atom_site_fract_z
Zr1 0.0000 0.0000 0.0000
In1 0.0000 0.0000 0.5000
Pb1 0.0000 0.5000 0.2500

---

Entry 3:
# PBE ZrInPb2, relaxed
# V = 105 Å³/cell
# DOS(E_F) = 1.997 states/eV/f.u.
# Final energy = -18.7 eV per formula unit
# Magnetization = 0.00 μB per formula unit
# Formation energy = 11 meV per atom
data_ZrInPb2
_cell_length_a 3.5201
_cell_length_b 4.5703
_cell_length_c 6.5021
_cell_angle_alpha 90.00
_cell_angle_beta 90.00
_cell_angle_gamma 90.00
_space_group_name_H-M_alt 'P m m 2'
_space_group_IT_number 25
loop_
_space_group_symop_operation_xyz
'x,y,z'
'-x,-y,z'
'-x,y,z'
'x,-y,z'
loop_
_atom_site_label
_atom_site_fract_x
_atom_site_fract_y
_atom_site_fract_z
Zr1 0.0000 0.0000 0.0000
In1 0.5000 0.5000 0.2340
Pb1 0.0000 0.0000 0.4848
Pb2 0.5000 0.5000 0.7663

---

Entry 4:
# PBE Zr8In2Pb, relaxed
# V = 524 Å³/cell
# DOS(E_F) = 11.818 states/eV/f.u.
# Final energy = -77.6 eV per formula unit
# Magnetization = 0.00 μB per formula unit
# Formation energy = -6 meV per atom
data_Zr8In2Pb
_cell_length_a 7.9799
_cell_length_b 13.9156
_cell_length_c 5.3374
_cell_angle_alpha 90.00
_cell_angle_beta 117.96
_cell_angle_gamma 90.00
_space_group_name_H-M_alt 'C 1 2/m 1'
_space_group_IT_number 12
loop_
_space_group_symop_operation_xyz
'x,y,z'
'-x,-y,-z'
'-x,y,-z'
'x,-y,z'
'x+1/2,y+1/2,z'
'-x+1/2,-y+1/2,-z'
'-x+1/2,y+1/2,-z'
'x+1/2,-y+1/2,z'
loop_
_atom_site_label
_atom_site_fract_x
_atom_site_fract_y
_atom_site_fract_z
Zr1 0.0000 0.2181 0.0000
Zr2 0.0846 0.5000 0.7899
Zr3 0.2069 0.1120 0.6606
In1 0.0000 0.3059 0.5000
Pb1 0.0000 0.0000 0.0000

---

Entry 5:
# PBE Zr6In5Pb, relaxed
# V = 539 Å³/cell
# DOS(E_F) = 7.146 states/eV/f.u.
# Final energy = -72.1 eV per formula unit
# Magnetization = 0.00 μB per formula unit
# Formation energy = -284 meV per atom
data_Zr6In5Pb
_cell_length_a 4.4990
_cell_length_b 8.9028
_cell_length_c 13.4458
_cell_angle_alpha 90.00
_cell_angle_beta 90.00
_cell_angle_gamma 90.00
_space_group_name_H-M_alt 'I m m m'
_space_group_IT_number 71
_space_group_name_Hall '-I 2 2'
loop_
_atom_site_label
_atom_site_fract_x
_atom_site_fract_y
_atom_site_fract_z
Zr1 0.0000 0.2483 0.0000
Zr2 0.0000 0.2505 0.3331
In1 0.0000 0.0000 0.1658
In2 0.0000 0.5000 0.1719
In3 0.0000 0.5000 0.5000
Pb1 0.0000 0.0000 0.5000

---

Entry 6:
# PBE ZrInPb3, relaxed
# V = 179 Å³/cell
# DOS(E_F) = 6.710 states/eV/f.u.
# Final energy = -17.7 eV per formula unit
# Magnetization = 1.75 μB per formula unit
# Formation energy = 948 meV per atom
# ΔE to the lowest computed polymorph = 3.271 eV per formula unit
data_ZrInPb3
_cell_length_a 5.6364
_cell_length_b 5.6364
_cell_length_c 5.6364
_cell_angle_alpha 90.00
_cell_angle_beta 90.00
_cell_angle_gamma 90.00
_space_group_name_H-M_alt 'P m -3 m'
_space_group_IT_number 221
_space_group_name_Hall '-P 4 2 3'
loop_
_atom_site_label
_atom_site_fract_x
_atom_site_fract_y
_atom_site_fract_z
Zr1 0.0000 0.0000 0.0000
In1 0.5000 0.5000 0.5000
Pb1 0.0000 0.5000 0.5000

---

Entry 7:
# PBE Zr2InPb, relaxed
# V = 101 Å³/cell
# DOS(E_F) = 4.453 states/eV/f.u.
# Final energy = -23.6 eV per formula unit
# Magnetization = 0.00 μB per formula unit
# Formation energy = -14 meV per atom
data_Zr2InPb
_cell_length_a 3.2208
_cell_length_b 3.2208
_cell_length_c 9.7338
_cell_angle_alpha 90.00
_cell_angle_beta 90.00
_cell_angle_gamma 90.00
_space_group_name_H-M_alt 'P 4 m m'
_space_group_IT_number 99
loop_
_space_group_symop_operation_xyz
'x,y,z'
'-y,x,z'
'-x,-y,z'
'y,-x,z'
'-x,y,z'
'y,x,z'
'x,-y,z'
'-y,-x,z'
loop_
_atom_site_label
_atom_site_fract_x
_atom_site_fract_y
_atom_site_fract_z
Zr1 0.0000 0.0000 0.0000
Zr2 0.5000 0.5000 0.2250
In1 0.0000 0.0000 0.4558
Pb1 0.5000 0.5000 0.7458

---

Entry 8:
# PBE ZrIn2Pb, relaxed
# V = 415 Å³/cell
# DOS(E_F) = 3.398 states/eV/f.u.
# Final energy = -16.8 eV per formula unit
# Magnetization = 1.13 μB per formula unit
# Formation energy = 242 meV per atom
data_ZrIn2Pb
_cell_length_a 7.4572
_cell_length_b 7.4572
_cell_length_c 7.4572
_cell_angle_alpha 90.00
_cell_angle_beta 90.00
_cell_angle_gamma 90.00
_space_group_name_H-M_alt 'F -4 3 m'
_space_group_IT_number 216
_space_group_name_Hall 'F -4 2 3'
loop_
_atom_site_label
_atom_site_fract_x
_atom_site_fract_y
_atom_site_fract_z
Zr1 0.0000 0.0000 0.0000
In1 0.0000 0.0000 0.5000
In2 0.2500 0.2500 0.2500
Pb1 0.2500 0.2500 0.7500

---

Entry 9:
# PBE ZrIn2Pb, relaxed
# V = 339 Å³/cell
# DOS(E_F) = 2.051 states/eV/f.u.
# Final energy = -17.0 eV per formula unit
# Magnetization = 0.00 μB per formula unit
# Formation energy = 174 meV per atom
data_ZrIn2Pb
_cell_length_a 4.7890
_cell_length_b 4.7890
_cell_length_c 17.0885
_cell_angle_alpha 90.00
_cell_angle_beta 90.00
_cell_angle_gamma 120.00
_space_group_name_H-M_alt 'R 3 m'
_space_group_IT_number 160
_space_group_name_Hall 'R 3 -2"'
loop_
_atom_site_label
_atom_site_fract_x
_atom_site_fract_y
_atom_site_fract_z
Zr1 0.0000 0.0000 0.0000
In1 0.0000 0.0000 0.3931
In2 0.0000 0.0000 0.5934
Pb1 0.0000 0.0000 0.8164

---

Entry 10:
# PBE ZrIn2Pb, relaxed
# V = 99 Å³/cell
# DOS(E_F) = 1.504 states/eV/f.u.
# Final energy = -17.9 eV per formula unit
# Magnetization = 0.00 μB per formula unit
# Formation energy = -53 meV per atom
data_ZrIn2Pb
_cell_length_a 3.2713
_cell_length_b 5.4477
_cell_length_c 5.5589
_cell_angle_alpha 90.00
_cell_angle_beta 90.00
_cell_angle_gamma 90.00
_space_group_name_H-M_alt 'P 1 m 1'
_space_group_IT_number 6
loop_
_space_group_symop_operation_xyz
'x,y,z'
'x,-y,z'
loop_
_atom_site_label
_atom_site_fract_x
_atom_site_fract_y
_atom_site_fract_z
Zr1 0.0000 0.0000 0.0000
In1 0.4998 0.0000 0.5051
In2 0.4997 0.5000 0.1687
Pb1 0.9980 0.5000 0.6811

---

Entry 11:
# PBE ZrIn3Pb, relaxed
# V = 174 Å³/cell
# DOS(E_F) = 3.997 states/eV/f.u.
# Final energy = -18.1 eV per formula unit
# Magnetization = 0.00 μB per formula unit
# Formation energy = 475 meV per atom
# ΔE to the lowest computed polymorph = 0.000 eV per formula unit
data_ZrIn3Pb
_cell_length_a 5.5811
_cell_length_b 5.5811
_cell_length_c 5.5811
_cell_angle_alpha 90.00
_cell_angle_beta 90.00
_cell_angle_gamma 90.00
_space_group_name_H-M_alt 'P m -3 m'
_space_group_IT_number 221
_space_group_name_Hall '-P 4 2 3'
loop_
_atom_site_label
_atom_site_fract_x
_atom_site_fract_y
_atom_site_fract_z
Zr1 0.0000 0.0000 0.0000
In1 0.0000 0.0000 0.5000
Pb1 0.5000 0.5000 0.5000

---

Entry 12:
# PBE ZrIn2Pb, relaxed
# V = 104 Å³/cell
# DOS(E_F) = 2.331 states/eV/f.u.
# Final energy = -17.9 eV per formula unit
# Magnetization = 0.00 μB per formula unit
# Formation energy = -47 meV per atom
data_ZrIn2Pb
_cell_length_a 3.2207
_cell_length_b 3.2207
_cell_length_c 10.0661
_cell_angle_alpha 90.00
_cell_angle_beta 90.00
_cell_angle_gamma 90.00
_space_group_name_H-M_alt 'P 4 m m'
_space_group_IT_number 99
loop_
_space_group_symop_operation_xyz
'x,y,z'
'-y,x,z'
'-x,-y,z'
'y,-x,z'
'-x,y,z'
'y,x,z'
'x,-y,z'
'-y,-x,z'
loop_
_atom_site_label
_atom_site_fract_x
_atom_site_fract_y
_atom_site_fract_z
Zr1 0.0000 0.0000 0.0000
In1 0.0000 0.0000 0.4647
In2 0.5000 0.5000 0.2136
Pb1 0.5000 0.5000 0.7636